(P)
Density functional theory data (PBE) for a geometry-optimized Sc4CoOs structure. Values from VASP.

The structure in Quantum ESPRESSO input format:
```
&SYSTEM
  ibrav = 0, nat = 6, ntyp = 3
/
ATOMIC_SPECIES
Sc 44.96 Sc.upf
Co 58.93 Co.upf
Os 190.23 Os.upf
ATOMIC_POSITIONS crystal
Sc 0.5000 0.5000 0.8661
Sc 0.5000 0.5000 0.1339
Sc 0.0000 0.0000 0.6288
Sc 0.0000 0.0000 0.3712
Co 0.5000 0.5000 0.5000
Os 0.0000 0.0000 0.0000
CELL_PARAMETERS angstrom
3.1814 -0.0006 0.0001
0.0006 3.1814 0.0001
-0.0007 -0.0007 11.6742
```

Calculated values
Symmetry = P4/mmm, No. 123
DOS(E_F) = 3.7 states/eV/cell



(Q)
Density functional theory data (PBE) for a geometry-optimized Sc4CoOs structure. Values from VASP.

The structure in Quantum ESPRESSO input format:
```
&SYSTEM
  ibrav = 0, nat = 6, ntyp = 3
/
ATOMIC_SPECIES
Sc 44.96 Sc.upf
Co 58.93 Co.upf
Os 190.23 Os.upf
ATOMIC_POSITIONS crystal
Sc 0.8772 0.3743 0.3743
Sc 0.3743 0.3743 0.8772
Sc 0.3743 0.8772 0.3743
Sc 0.3743 0.3743 0.3743
Co 0.7500 0.7500 0.7500
Os 0.0000 0.0000 0.0000
CELL_PARAMETERS angstrom
0.5448 -1.7439 5.0655
-1.8760 2.9651 4.0848
-4.3207 -1.6464 2.7601
```

Calculated values
Symmetry = F-43m, No. 216
DOS(E_F) = 5.9 states/eV/cell



Stability check: which of them is most stable? (P).



(P)
Density functional theory data (PBE) for a geometry-optimized ScCo2Os structure. Values from VASP.

The structure in Quantum ESPRESSO input format:
```
&SYSTEM
  ibrav = 0, nat = 4, ntyp = 3
/
ATOMIC_SPECIES
Co 58.93 Co.upf
Os 190.23 Os.upf
Sc 44.96 Sc.upf
ATOMIC_POSITIONS crystal
Co 0.0000 0.0000 0.0000
Co 0.2500 0.2500 0.2500
Os 0.5000 0.5000 0.5000
Sc 0.7500 0.7500 0.7500
CELL_PARAMETERS angstrom
4.3065 0.0000 0.0000
2.1533 3.7296 0.0000
2.1533 1.2432 3.5163
```

Calculated values
Symmetry = F-43m, No. 216
DOS(E_F) = 4.7 states/eV/cell



(Q)
Density functional theory data (PBE) for a geometry-optimized ScCo2Os structure. Values from VASP.

The structure in Quantum ESPRESSO input format:
```
&SYSTEM
  ibrav = 0, nat = 4, ntyp = 3
/
ATOMIC_SPECIES
Co 58.93 Co.upf
Os 190.23 Os.upf
Sc 44.96 Sc.upf
ATOMIC_POSITIONS crystal
Co 0.0000 0.2010 0.9748
Co 0.5000 0.0430 0.2872
Os 0.0000 0.4734 0.4258
Sc 0.5000 0.7825 0.8122
CELL_PARAMETERS angstrom
4.1101 0.0000 0.0000
0.0000 2.7689 0.0275
0.0000 1.3525 4.7459
```

Calculated values
Symmetry = Pm, No. 6
DOS(E_F) = 3.1 states/eV/cell



(R)
Density functional theory data (PBE) for a geometry-optimized ScCo2Os structure. Values from VASP.

The structure in Quantum ESPRESSO input format:
```
&SYSTEM
  ibrav = 0, nat = 4, ntyp = 3
/
ATOMIC_SPECIES
Co 58.93 Co.upf
Os 190.23 Os.upf
Sc 44.96 Sc.upf
ATOMIC_POSITIONS crystal
Co 0.0106 0.0106 0.9561
Co 0.4894 0.4894 0.5439
Os 0.7500 0.7500 0.7500
Sc 0.2500 0.2500 0.2500
CELL_PARAMETERS angstrom
4.6123 0.0022 0.0054
3.7469 2.6896 0.0054
0.9326 0.3003 4.5654
```

Calculated values
Symmetry = C2/m, No. 12
DOS(E_F) = 5.4 states/eV/cell



(S)
Density functional theory data (PBE) for a geometry-optimized ScCo2Os structure. Values from VASP.

The structure in Quantum ESPRESSO input format:
```
&SYSTEM
  ibrav = 0, nat = 4, ntyp = 3
/
ATOMIC_SPECIES
Co 58.93 Co.upf
Os 190.23 Os.upf
Sc 44.96 Sc.upf
ATOMIC_POSITIONS crystal
Co 0.0000 0.0000 0.0348
Co 0.5000 0.5000 0.2391
Os 0.0000 0.0000 0.4667
Sc 0.5000 0.5000 0.7594
CELL_PARAMETERS angstrom
-1.9906 1.9895 -1.2167
1.2143 -0.4814 -2.7739
-3.8927 -4.4632 -0.9294
```

Calculated values
Symmetry = P4mm, No. 99
DOS(E_F) = 6.2 states/eV/cell



Stability check: which of them is most stable? (Q).